Here is a relaxed structure of AlMoO3 from Alexandria via LeMat-Bulk. Energies are from GGA+U.

The value obtained for the total magnetic moment is 6.000 μB per cell. The calculation puts the density at 4.5 g/cm3. The symmetry is P2_1/m. The uncorrected energy is -7.398 eV/atom.

abc: 3.344 5.249 7.953
angles: 114.39 90.00 90.00
Last column: magnetic moment on the atom in μB.
Positions (direct):
O (0.250, 0.516, 0.738)  0.05
O (0.750, 0.484, 0.262)  0.05
O (0.250, 0.029, 0.395)  0.00
O (0.250, 0.095, 0.885)  0.02
O (0.750, 0.971, 0.605)  0.00
Mo (0.750, 0.798, 0.818)  2.75
Al (0.750, 0.847, 0.334)  0.01
Mo (0.250, 0.202, 0.182)  2.75
O (0.750, 0.905, 0.115)  0.02
Al (0.250, 0.153, 0.666)  0.01